Nd5Si4 (GGA-PBEsol, optimized geometry); formation energy (no corrections) = -0.723 eV per atom; offset from the most stable computed form = 0.000 eV/atom; raw total energy = -221.30 eV/cell; DOS(E_F) = 8.51 states/eV/f.u.; volume = 25.2 Å³ per atom; magnetization = 0.0 μB per formula unit
1.0
-0.498 -6.189 -4.735
6.989 1.744 -3.014
6.562 -8.435 10.335
Nd Si
20 16
Direct
0.626 0.989 0.450
0.372 0.483 0.874
0.190 0.810 0.750
0.628 0.517 0.374
0.983 0.128 0.624
0.310 0.310 0.500
0.874 0.489 0.800
0.810 0.190 0.250
0.126 0.511 0.300
0.489 0.874 0.200
0.690 0.690 0.000
0.511 0.126 0.700
0.374 0.011 0.950
0.517 0.628 0.626
0.989 0.626 0.550
0.483 0.372 0.126
0.872 0.017 0.876
0.128 0.983 0.376
0.017 0.872 0.124
0.011 0.374 0.050
0.790 0.575 0.190
0.333 0.697 0.449
0.075 0.710 0.940
0.167 0.197 0.801
0.197 0.167 0.199
0.667 0.303 0.949
0.833 0.803 0.301
0.210 0.425 0.690
0.425 0.210 0.310
0.925 0.290 0.440
0.290 0.925 0.560
0.710 0.075 0.060
0.575 0.790 0.810
0.697 0.333 0.551
0.803 0.833 0.699
0.303 0.667 0.051